{
  "formula": "Pr2Ho2CI2Br3",
  "functional": "PBE",
  "state": "relaxed",
  "cell": [[9.368, -1.951, 0.000], [9.368, 1.951, 0.000], [-1.813, 0.000, 8.157]],
  "species": ["Pr", "Pr", "Ho", "Ho", "C", "I", "I", "Br", "Br", "Br"],
  "fractional_positions": [[0.139, 0.139, 0.074], [0.861, 0.861, 0.926], [0.499, 0.499, 0.197], [0.501, 0.501, 0.803], [0.000, 0.000, 0.000], [0.332, 0.332, 0.206], [0.668, 0.668, 0.794], [0.000, 0.000, 0.500], [0.348, 0.348, 0.651], [0.652, 0.652, 0.349]],
  "de_polymorph_ev_per_atom": 0.012,
  "space_group": "C2/m, No. 12",
  "e_tot_ev_per_atom": -4.8857
}